1.
The following is a PBE calculation of a geometry-optimized AgGe2Au structure, from Alexandria via LeMat-Bulk.

The structure belongs to space group P4/mmm (No. 123); the cell edges are 4.340, 4.340 and 3.948 Å and the angles 90.00°, 90.00° and 90.00°. The distinct sites, in fractional coordinates, are Ag at (0.000, 0.000, 0.000), Ge at (0.000, 0.500, 0.500) and Au at (0.500, 0.500, 0.000).

Its total DFT energy (no corrections) is -14.8 eV for the cell shown. The calculated density comes out at 10.05 g cm⁻³. For the formation enthalpy at 0 K, the calculation gives 0.15 eV per atom.

=====

2.
The following is a PBE calculation of a geometry-optimized Ag2GeAu4 structure, from Alexandria via LeMat-Bulk.

The structure belongs to space group Pbam (No. 55); the cell edges are 4.985, 11.645 and 4.660 Å and the angles 90.00°, 90.00° and 90.00°. The distinct sites, in fractional coordinates, are Ag at (0.243, 0.188, 0.000), Ge at (0.000, 0.000, 0.500), Au at (0.085, 0.319, 0.500) and Au at (0.245, 0.441, 0.000).

Its total DFT energy (no corrections) is -46.0 eV for the cell shown. The calculated density comes out at 13.21 g cm⁻³. For the formation enthalpy at 0 K, the calculation gives 0.06 eV per atom.

=====

Q: calculated density of number 2 (Ag2GeAu4)?
A: 13.21 g cm⁻³

=====

Q: What is the formula in the second record?
A: Ag2GeAu4

=====

Please write out number 1 again, unchanged.
The following is a PBE calculation of a geometry-optimized AgGe2Au structure, from Alexandria via LeMat-Bulk.

The structure belongs to space group P4/mmm (No. 123); the cell edges are 4.340, 4.340 and 3.948 Å and the angles 90.00°, 90.00° and 90.00°. The distinct sites, in fractional coordinates, are Ag at (0.000, 0.000, 0.000), Ge at (0.000, 0.500, 0.500) and Au at (0.500, 0.500, 0.000).

Its total DFT energy (no corrections) is -14.8 eV for the cell shown. The calculated density comes out at 10.05 g cm⁻³. For the formation enthalpy at 0 K, the calculation gives 0.15 eV per atom.

=====

Q: What is the calculated density in the first record?
A: 10.05 g cm⁻³